## BaNa2Hg (GGA-PBE)

Data for a relaxed BaNa2Hg crystal.

As for the total energy: -0.107 Ry/atom.

Cell: 4.9035 6.5612 10.0454 Å, 90.00 90.00 111.94°
Closest atoms and distances in Å follow each position.
Sites, in units of the cell vectors:
Ba 0.9457 0.8914 0.2500  3 Hg 3.50-3.59
Ba 0.0543 0.1086 0.7500  3 Hg 3.50-3.59
Na 0.3437 0.6873 0.5556  3 Hg 3.30-3.32, 2 Na 3.53
Na 0.6563 0.3127 0.4444  3 Hg 3.30-3.32, 2 Na 3.53
Na 0.6563 0.3127 0.0556  3 Hg 3.30-3.32, 2 Na 3.53
Na 0.3437 0.6873 0.9444  3 Hg 3.30-3.32, 2 Na 3.53
Hg 0.2407 0.4813 0.2500  6 Na 3.30-3.32, 3 Ba 3.50-3.59
Hg 0.7593 0.5187 0.7500  6 Na 3.30-3.32, 3 Ba 3.50-3.59